# Co2HF

An optimized crystal structure of Co2HF (PBE with a Hubbard U, Alexandria via LeMat-Bulk).

Structure (extended XYZ):
```
8
Lattice="4.6555 0.0000 0.0000 0.0000 4.6555 0.0000 2.3278 2.3278 3.8948" Properties=species:S:1:pos:R:3 pbc="T T T"
Co 3.1653 1.1639 0.9737
Co 1.4902 3.4916 0.9737
Co 5.8194 5.4931 2.9211
Co 3.4916 3.8179 2.9211
F 0.0000 0.0000 0.0000
F 4.6555 2.3278 1.9474
H 2.3278 4.6555 1.9474
H 2.3278 2.3278 0.0000
```

Summary:
**Total DFT energy (no corrections)**: -16.095 eV/f.u.
**Energy above the lowest structure with this stoichiometry**: 0 meV per atom
**Calculated density**: 5.424 g cm⁻³